Density functional theory data (GGA-PBEsol) for InNiW2N after structural relaxation.

Computed properties:
For the total energy, the calculation gives -8.96 eV per atom. Its spin magnetization is 0.0 μB per formula unit. Its uncorrected formation energy is 0.1008 eV/atom.

Cell: 4.0920 4.0920 4.0320 Å, 90.00 90.00 90.00°
Closest atoms and distances in Å follow each position.
Element x y z (fractional)
1 Ni 0.0000 0.0000 0.5000  2 N 2.02
2 In 0.5000 0.5000 0.5000  8 W 2.87, 4 Ni 2.89
3 W 0.0000 0.5000 0.0000  2 N 2.05
4 W 0.5000 0.0000 0.0000  2 N 2.05
5 N 0.0000 0.0000 0.0000  2 Ni 2.02, 4 W 2.05